# 1
A relaxed structure of K2NaCr, computed with PBE.

Cell: 10.0140 10.0140 7.3133 Å, 90.00 90.00 90.00°
Atoms (fractional coordinates):
K 0.2295 0.7500 0.1250
K 0.2500 0.2295 0.8750
K 0.2500 0.2705 0.3750
K 0.2705 0.7500 0.6250
K 0.7295 0.2500 0.6250
K 0.7500 0.7295 0.3750
K 0.7500 0.7705 0.8750
K 0.7705 0.2500 0.1250
Na 0.0000 0.0000 0.5000
Na 0.0000 0.5000 0.7500
Na 0.5000 0.0000 0.2500
Na 0.5000 0.5000 0.0000
Cr 0.0000 0.0000 0.0000
Cr 0.0000 0.5000 0.2500
Cr 0.5000 0.0000 0.7500
Cr 0.5000 0.5000 0.5000

Summary:
Its energy of formation from the pure elements is 0.72 eV/atom. The calculation puts the energy relative to the lowest polymorph listed for this composition at 83 meV/atom. The magnetic moment is 5.20 μB/f.u.

# 2
A relaxed structure of Fe3SnGe, computed with PBE.

Cell: 4.7865 4.7865 4.7865 Å, 90.00 90.00 90.00°
Atoms (fractional coordinates):
Fe 0.0000 0.0000 0.5000
Fe 0.0000 0.5000 0.0000
Fe 0.5000 0.0000 0.0000
Sn 0.0000 0.0000 0.0000
Ge 0.5000 0.5000 0.5000

Summary:
Its energy of formation from the pure elements is 1.90 eV/atom. The calculation puts the energy relative to the lowest polymorph listed for this composition at 1217 meV/atom. The magnetic moment is 0.02 μB/f.u.

# 3
A relaxed structure of Na2AgS2, computed with PBE.

Cell: 3.7804 5.3323 12.4337 Å, 90.00 90.00 90.00°
Atoms (fractional coordinates):
Na 0.0000 0.0000 0.1923
Na 0.0000 0.0000 0.8077
Na 0.5000 0.5000 0.3077
Na 0.5000 0.5000 0.6923
Ag 0.0000 0.0000 0.5000
Ag 0.5000 0.5000 0.0000
S 0.0000 0.5000 0.1343
S 0.0000 0.5000 0.8657
S 0.5000 0.0000 0.3657
S 0.5000 0.0000 0.6343

Summary:
The calculation puts the energy relative to the lowest polymorph listed for this composition at 0 meV/atom. For the uncorrected formation energy, the calculation gives -0.596 eV/atom. The magnetic moment is 0.00 μB/f.u.

# 4
A relaxed structure of MnBeGa2, computed with PBE.

Cell: 3.7318 3.7318 3.6306 Å, 90.00 90.00 90.00°
Atoms (fractional coordinates):
Mn 0.0000 0.0000 0.0000
Be 0.5000 0.5000 0.0000
Ga 0.0000 0.5000 0.5000
Ga 0.5000 0.0000 0.5000

Summary:
Its energy of formation from the pure elements is -0.01 eV/atom. The magnetic moment is 2.42 μB/f.u.

# 5
A relaxed structure of Na2Bi2Pb, computed with PBE.

Cell: 9.1217 9.1217 3.6796 Å, 90.00 90.00 90.00°
Atoms (fractional coordinates):
Na 0.1724 0.3276 0.0000
Na 0.3276 0.8276 0.0000
Na 0.6724 0.1724 0.0000
Na 0.8276 0.6724 0.0000
Bi 0.1243 0.6243 0.5000
Bi 0.3757 0.1243 0.5000
Bi 0.6243 0.8757 0.5000
Bi 0.8757 0.3757 0.5000
Pb 0.0000 0.0000 0.5000
Pb 0.5000 0.5000 0.5000

Summary:
Its energy of formation from the pure elements is -0.16 eV/atom. The calculation puts the energy relative to the lowest polymorph listed for this composition at 45 meV/atom. The magnetic moment is 0.00 μB/f.u.

# 6
A relaxed structure of Re3SnW, computed with PBE.

Cell: 4.7837 4.7837 4.7837 Å, 90.00 90.00 90.00°
Atoms (fractional coordinates):
Re 0.0000 0.0000 0.5000
Re 0.0000 0.5000 0.0000
Re 0.5000 0.0000 0.0000
Sn 0.5000 0.5000 0.5000
W 0.0000 0.0000 0.0000

Summary:
Its energy of formation from the pure elements is 2.11 eV/atom. The calculation puts the energy relative to the lowest polymorph listed for this composition at 0 meV/atom. The magnetic moment is 2.22 μB/f.u.

# 7
A relaxed structure of K12Sb3Br5, computed with PBE.

Cell: 17.1539 17.1539 17.1539 Å, 109.47 109.47 109.47°
Atoms (fractional coordinates):
K 0.0501 0.2220 0.1364
K 0.0501 0.3280 0.9137
K 0.0863 0.6364 0.4143
K 0.0857 0.7220 0.6720
K 0.0857 0.8636 0.4137
K 0.0863 0.9499 0.6720
K 0.1364 0.0501 0.2220
K 0.1364 0.5863 0.9143
K 0.1720 0.2220 0.5857
K 0.1720 0.4499 0.5863
K 0.2220 0.1364 0.0501
K 0.2220 0.5857 0.1720
K 0.2780 0.3280 0.9143
K 0.2780 0.4499 0.3636
K 0.3280 0.9137 0.0501
K 0.3280 0.9143 0.2780
K 0.3636 0.2780 0.4499
K 0.3636 0.5857 0.9137
K 0.4143 0.0863 0.6364
K 0.4137 0.0857 0.8636
K 0.4137 0.8280 0.5501
K 0.4143 0.8280 0.7780
K 0.4499 0.3636 0.2780
K 0.4499 0.5863 0.1720
K 0.5501 0.4137 0.8280
K 0.5501 0.6364 0.7220
K 0.5857 0.1720 0.2220
K 0.5863 0.1720 0.4499
K 0.5863 0.9143 0.1364
K 0.5857 0.9137 0.3636
K 0.6364 0.4143 0.0863
K 0.6364 0.7220 0.5501
K 0.6720 0.0857 0.7220
K 0.6720 0.0863 0.9499
K 0.7220 0.5501 0.6364
K 0.7220 0.6720 0.0857
K 0.7780 0.4143 0.8280
K 0.7780 0.8636 0.9499
K 0.8280 0.5501 0.4137
K 0.8280 0.7780 0.4143
K 0.8636 0.4137 0.0857
K 0.8636 0.9499 0.7780
K 0.9137 0.0501 0.3280
K 0.9143 0.1364 0.5863
K 0.9143 0.2780 0.3280
K 0.9137 0.3636 0.5857
K 0.9499 0.6720 0.0863
K 0.9499 0.7780 0.8636
Sb 0.1250 0.2500 0.3750
Sb 0.1250 0.3750 0.7500
Sb 0.2500 0.3750 0.1250
Sb 0.2500 0.8750 0.6250
Sb 0.3750 0.1250 0.2500
Sb 0.3750 0.7500 0.1250
Sb 0.6250 0.2500 0.8750
Sb 0.6250 0.8750 0.7500
Sb 0.7500 0.1250 0.3750
Sb 0.7500 0.6250 0.8750
Sb 0.8750 0.6250 0.2500
Sb 0.8750 0.7500 0.6250
Br 0.0000 0.0000 0.0000
Br 0.0000 0.0000 0.5000
Br 0.0000 0.5000 0.0000
Br 0.0000 0.5000 0.5000
Br 0.1250 0.7500 0.8750
Br 0.1250 0.8750 0.2500
Br 0.2500 0.1250 0.8750
Br 0.2500 0.6250 0.3750
Br 0.3750 0.2500 0.6250
Br 0.3750 0.6250 0.7500
Br 0.5000 0.0000 0.0000
Br 0.5000 0.0000 0.5000
Br 0.5000 0.5000 0.0000
Br 0.5000 0.5000 0.5000
Br 0.6250 0.3750 0.2500
Br 0.6250 0.7500 0.3750
Br 0.7500 0.3750 0.6250
Br 0.7500 0.8750 0.1250
Br 0.8750 0.1250 0.7500
Br 0.8750 0.2500 0.1250

Summary:
For the uncorrected formation energy, the calculation gives -0.974 eV/atom. The magnetic moment is 2.17 μB/f.u.

# 8
A relaxed structure of SrCrCo2, computed with PBE.

Cell: 6.5657 6.5762 3.0210 Å, 90.00 90.00 90.00°
Atoms (fractional coordinates):
Sr 0.0000 0.0000 0.0000
Sr 0.5000 0.5000 0.0000
Cr 0.0000 0.5000 0.0000
Cr 0.5000 0.0000 0.0000
Co 0.2500 0.2500 0.5000
Co 0.2500 0.7500 0.5000
Co 0.7500 0.2500 0.5000
Co 0.7500 0.7500 0.5000

Summary:
Its energy of formation from the pure elements is 0.91 eV/atom. The calculation puts the energy relative to the lowest polymorph listed for this composition at 592 meV/atom. The magnetic moment is 4.54 μB/f.u.

# 9
A relaxed structure of NbReN2F, computed with PBE.

Cell: 4.1285 4.1285 4.0129 Å, 90.00 90.00 90.00°
Atoms (fractional coordinates):
Nb 0.0000 0.0000 0.0000
Re 0.5000 0.5000 0.5000
N 0.0000 0.5000 0.0000
N 0.5000 0.0000 0.0000
F 0.0000 0.0000 0.5000

Summary:
The calculation puts the energy relative to the lowest polymorph listed for this composition at 230 meV/atom. For the uncorrected formation energy, the calculation gives 0.537 eV/atom. The magnetic moment is 4.37 μB/f.u.

# 10
A relaxed structure of KHf3Te6, computed with PBE.

Cell: 12.8400 4.0177 12.8554 Å, 90.00 106.95 90.00°
Atoms (fractional coordinates):
K 0.1025 0.2500 0.3760
K 0.8975 0.7500 0.6240
Hf 0.1499 0.2500 0.0405
Hf 0.3003 0.7500 0.7301
Hf 0.4757 0.7500 0.3561
Hf 0.5243 0.2500 0.6439
Hf 0.6997 0.2500 0.2699
Hf 0.8501 0.7500 0.9595
Te 0.0466 0.7500 0.1411
Te 0.1383 0.2500 0.6509
Te 0.2464 0.7500 0.9423
Te 0.3213 0.2500 0.2495
Te 0.3639 0.7500 0.5297
Te 0.4570 0.2500 0.8374
Te 0.5430 0.7500 0.1626
Te 0.6361 0.2500 0.4703
Te 0.6787 0.7500 0.7505
Te 0.7536 0.2500 0.0577
Te 0.8617 0.7500 0.3491
Te 0.9534 0.2500 0.8589

Summary:
For the uncorrected formation energy, the calculation gives -0.820 eV/atom. The magnetic moment is 0.00 μB/f.u.

# 11
A relaxed structure of CrTeBr3, computed with PBE.

Cell: 5.2293 5.2293 5.2293 Å, 90.00 90.00 90.00°
Atoms (fractional coordinates):
Cr 0.0000 0.0000 0.0000
Te 0.5000 0.5000 0.5000
Br 0.0000 0.0000 0.5000
Br 0.0000 0.5000 0.0000
Br 0.5000 0.0000 0.0000

Summary:
The calculation puts the energy relative to the lowest polymorph listed for this composition at 0 meV/atom. For the uncorrected formation energy, the calculation gives -0.026 eV/atom. The magnetic moment is 6.12 μB/f.u.

# 12
A relaxed structure of Cd2Pd5Au2, computed with PBE.

Cell: 8.6747 8.6747 8.6747 Å, 113.96 75.65 147.33°
Atoms (fractional coordinates):
Cd 0.1732 0.0432 0.1300
Cd 0.4132 0.0432 0.3700
Cd 0.5868 0.9568 0.6300
Cd 0.8268 0.9568 0.8700
Pd 0.1005 0.0000 0.6005
Pd 0.1005 0.5000 0.1005
Pd 0.2989 0.0000 0.7989
Pd 0.2989 0.5000 0.2989
Pd 0.5000 0.0000 0.0000
Pd 0.5000 0.5000 0.5000
Pd 0.7011 0.0000 0.2011
Pd 0.7011 0.5000 0.7011
Pd 0.8995 0.0000 0.3995
Pd 0.8995 0.5000 0.8995
Au 0.0000 0.5000 0.5000
Au 0.1942 0.4442 0.7500
Au 0.5000 0.5000 0.0000
Au 0.8058 0.5558 0.2500

Summary:
Its energy of formation from the pure elements is -0.15 eV/atom. The calculation puts the energy relative to the lowest polymorph listed for this composition at 62 meV/atom. The magnetic moment is 0.00 μB/f.u.

# 13
A relaxed structure of ThFe3Si2, computed with PBE.

Cell: 7.6462 7.6462 7.0822 Å, 114.73 114.73 29.13°
Atoms (fractional coordinates):
Th 0.1502 0.1502 0.0630
Th 0.8498 0.8498 0.9370
Fe 0.0359 0.0359 0.3808
Fe 0.3099 0.3099 0.5420
Fe 0.4168 0.4168 0.3586
Fe 0.5832 0.5832 0.6414
Fe 0.6901 0.6901 0.4580
Fe 0.9641 0.9641 0.6192
Si 0.1854 0.1854 0.6692
Si 0.4765 0.4765 0.8063
Si 0.5235 0.5235 0.1937
Si 0.8146 0.8146 0.3308

Summary:
For the uncorrected formation energy, the calculation gives -0.506 eV/atom. The magnetic moment is 1.86 μB/f.u.

# 14
A relaxed structure of SbCl, computed with PBE.

Cell: 3.4688 3.4688 10.6579 Å, 90.00 90.00 120.00°
Atoms (fractional coordinates):
Sb 0.3333 0.6667 0.1279
Sb 0.6667 0.3333 0.8721
Cl 0.3333 0.6667 0.6793
Cl 0.6667 0.3333 0.3207

Summary:
The calculation puts the energy relative to the lowest polymorph listed for this composition at 327 meV/atom. For the uncorrected formation energy, the calculation gives -0.148 eV/atom. The magnetic moment is 0.00 μB/f.u.

# 15
A relaxed structure of CaY2Br, computed with PBE.

Cell: 8.0126 8.0126 8.0126 Å, 90.00 90.00 90.00°
Atoms (fractional coordinates):
Ca 0.0000 0.0000 0.0000
Ca 0.0000 0.5000 0.5000
Ca 0.5000 0.0000 0.5000
Ca 0.5000 0.5000 0.0000
Y 0.2500 0.2500 0.2500
Y 0.2500 0.2500 0.7500
Y 0.2500 0.7500 0.2500
Y 0.2500 0.7500 0.7500
Y 0.7500 0.2500 0.2500
Y 0.7500 0.2500 0.7500
Y 0.7500 0.7500 0.2500
Y 0.7500 0.7500 0.7500
Br 0.0000 0.0000 0.5000
Br 0.0000 0.5000 0.0000
Br 0.5000 0.0000 0.0000
Br 0.5000 0.5000 0.5000

Summary:
The calculation puts the energy relative to the lowest polymorph listed for this composition at 641 meV/atom. For the uncorrected formation energy, the calculation gives 0.094 eV/atom. The magnetic moment is 0.00 μB/f.u.

# 16
A relaxed structure of Ti3AlO6, computed with PBE.

Cell: 5.9353 5.9353 14.5669 Å, 90.00 90.00 120.00°
Atoms (fractional coordinates):
Ti 0.0000 0.0000 0.0000
Ti 0.0000 0.5000 0.5000
Ti 0.1593 0.3185 0.1633
Ti 0.1593 0.8407 0.1633
Ti 0.3185 0.1593 0.8367
Ti 0.3333 0.6667 0.3202
Ti 0.5000 0.0000 0.5000
Ti 0.5000 0.5000 0.5000
Ti 0.6667 0.3333 0.6798
Ti 0.6815 0.8407 0.1633
Ti 0.8407 0.1593 0.8367
Ti 0.8407 0.6815 0.8367
Al 0.0000 0.0000 0.3753
Al 0.0000 0.0000 0.6247
Al 0.3333 0.6667 0.9599
Al 0.6667 0.3333 0.0401
O 0.0000 0.0000 0.2534
O 0.0000 0.0000 0.7466
O 0.0380 0.5190 0.2402
O 0.1669 0.3338 0.4153
O 0.1669 0.8331 0.4153
O 0.1702 0.3403 0.9200
O 0.1702 0.8298 0.9200
O 0.3333 0.6667 0.0825
O 0.3333 0.6667 0.5649
O 0.3338 0.1669 0.5847
O 0.3403 0.1702 0.0800
O 0.4810 0.5190 0.2402
O 0.4810 0.9620 0.2402
O 0.5190 0.0380 0.7598
O 0.5190 0.4810 0.7598
O 0.6597 0.8298 0.9200
O 0.6662 0.8331 0.4153
O 0.6667 0.3333 0.4351
O 0.6667 0.3333 0.9175
O 0.8298 0.1702 0.0800
O 0.8298 0.6597 0.0800
O 0.8331 0.1669 0.5847
O 0.8331 0.6662 0.5847
O 0.9620 0.4810 0.7598

Summary:
For the uncorrected formation energy, the calculation gives -2.833 eV/atom. The magnetic moment is 0.91 μB/f.u.

# 17
A relaxed structure of AsPd2Br3, computed with PBE.

Cell: 8.8967 8.8967 12.9421 Å, 127.51 127.51 24.58°
Atoms (fractional coordinates):
As 0.0741 0.0741 0.1889
As 0.9259 0.9259 0.8111
Pd 0.0929 0.0929 0.0210
Pd 0.3648 0.3648 0.6494
Pd 0.6352 0.6352 0.3506
Pd 0.9071 0.9071 0.9790
Br 0.1814 0.1814 0.5387
Br 0.2770 0.2770 0.8719
Br 0.4556 0.4556 0.2390
Br 0.5444 0.5444 0.7610
Br 0.7230 0.7230 0.1281
Br 0.8186 0.8186 0.4613

Summary:
For the uncorrected formation energy, the calculation gives -0.223 eV/atom. The magnetic moment is 0.00 μB/f.u.

# 18
A relaxed structure of TmCdGaO4, computed with PBE.

Cell: 6.4122 6.4122 6.4122 Å, 121.87 118.13 90.02°
Atoms (fractional coordinates):
Tm 0.0000 0.0000 0.0000
Tm 0.5000 0.0000 0.5000
Cd 0.5000 0.0000 0.0000
Cd 0.5000 0.5000 0.5000
Ga 0.1195 0.3695 0.7500
Ga 0.8805 0.6305 0.2500
O 0.2314 0.2468 0.9847
O 0.2379 0.7532 0.4847
O 0.2413 0.2375 0.4962
O 0.2413 0.7450 0.0038
O 0.7587 0.2550 0.9962
O 0.7587 0.7625 0.5038
O 0.7621 0.2468 0.5153
O 0.7686 0.7532 0.0153

Summary:
For the uncorrected formation energy, the calculation gives -2.189 eV/atom. The magnetic moment is 0.00 μB/f.u.